No. 1
Here is an optimized crystal structure of LaIrSO2 from the Open Quantum Materials Database. Energies are from PBE.

The structure in extended XYZ format:
```
5
Lattice="4.0429 0.0000 0.0000 0.0103 4.0449 0.0000 0.5000 0.4651 4.9168" Properties=species:S:1:pos:R:3 pbc="T T T"
La 0.0000 0.0000 0.0000
Ir 2.0090 2.0084 1.7560
S 2.5332 2.4943 3.9818
O 2.0027 4.0332 1.3849
O 4.0329 1.9962 1.3809
```

Computed properties:
- SG = P1 (1)
- electronic total energy (eV/cell) = -35.67



No. 2
Here is an optimized crystal structure of LaIrSe2O from the Open Quantum Materials Database. Energies are from PBE.

The structure in extended XYZ format:
```
10
Lattice="5.9807 -1.9713 0.0000 5.9807 1.9713 0.0000 -0.2535 0.0000 8.0459" Properties=species:S:1:pos:R:3 pbc="T T T"
La 2.5028 0.0000 2.4461
La 9.2051 0.0000 5.5998
Ir 0.0000 0.0000 0.0000
Ir 5.8540 0.0000 4.0230
Se 0.4291 0.0000 5.5923
Se 4.1112 0.0000 7.9514
Se 7.5967 0.0000 0.0945
Se 11.2788 0.0000 2.4536
O 3.7999 0.0000 4.4767
O 7.9080 0.0000 3.5693
```

Computed properties:
- SG = C2/m (12)
- electronic total energy (eV/cell) = -67.39



No. 3
Here is an optimized crystal structure of LaSn2IrO6 from the Open Quantum Materials Database. Energies are from PBE.

The structure in extended XYZ format:
```
10
Lattice="4.8945 -2.8135 0.0000 4.8945 2.8135 0.0000 -3.3602 0.0000 5.2938" Properties=species:S:1:pos:R:3 pbc="T T T"
La 0.0000 0.0000 0.0000
Sn 0.0410 0.0000 3.5913
Sn 6.3878 0.0000 1.7025
Ir 3.2144 0.0000 2.6469
O 1.9458 1.3616 3.3913
O 2.1042 0.0000 1.0375
O 4.4830 1.3616 1.9025
O 1.9458 -1.3616 3.3913
O 4.3246 0.0000 4.2563
O 4.4830 -1.3616 1.9025
```

Computed properties:
- SG = C2/m (12)
- electronic total energy (eV/cell) = -66.73



No. 4
Here is an optimized crystal structure of La2ZnIrO6 from the Open Quantum Materials Database. Energies are from PBE.

The structure in extended XYZ format:
```
20
Lattice="5.5626 0.0000 0.0000 0.0000 5.7235 0.0000 -5.5544 0.0000 7.9079" Properties=species:S:1:pos:R:3 pbc="T T T"
La -0.0720 0.3244 1.9739
La -2.8492 2.5374 5.9279
La 2.8574 3.1861 1.9801
La 0.0802 5.3992 5.9341
Zn -2.7772 0.0000 3.9540
Zn 0.0000 2.8618 0.0000
Ir 2.7813 0.0000 0.0000
Ir 0.0041 2.8618 3.9540
O -4.4204 1.1436 7.5185
O -1.6432 1.7182 3.5645
O -3.8516 4.0525 7.5081
O -1.0744 4.5328 3.5542
O -2.2520 0.1344 5.9527
O 0.5253 2.7274 1.9987
O -0.5171 2.9962 5.9092
O 2.2601 5.5891 1.9552
O 1.0825 1.1908 4.3538
O 3.8597 1.6710 0.3998
O 1.6513 4.0053 4.3434
O 4.4285 4.5800 0.3894
```

Computed properties:
- SG = P2_1/c (14)
- electronic total energy (eV/cell) = -143.95



No. 5
Here is an optimized crystal structure of La2P2IrOsS2 from the Open Quantum Materials Database. Energies are from PBE.

The structure in extended XYZ format:
```
8
Lattice="4.1867 0.0000 0.0000 0.0000 4.1867 0.0000 0.0000 0.0000 9.2650" Properties=species:S:1:pos:R:3 pbc="T T T"
La 0.0000 2.0933 1.8373
La 2.0933 0.0000 7.4277
P 0.0000 2.0933 5.8245
P 2.0933 0.0000 3.4405
Ir 0.0000 0.0000 4.6325
Os 2.0933 2.0933 4.6325
S 0.0000 0.0000 0.0000
S 2.0933 2.0933 0.0000
```

Computed properties:
- SG = P-4m2 (115)
- electronic total energy (eV/cell) = -57.97



No. 6
Here is an optimized crystal structure of LaTa2IrOs from the Open Quantum Materials Database. Energies are from PBE.

The structure in extended XYZ format:
```
10
Lattice="4.4564 0.0000 0.0000 0.0000 4.4564 0.0000 0.0000 0.0000 10.7378" Properties=species:S:1:pos:R:3 pbc="T T T"
La 0.0000 0.0000 0.0000
La 2.2282 2.2282 5.3689
Ta 0.0000 2.2282 2.6784
Ta 0.0000 2.2282 8.0473
Ta 2.2282 0.0000 2.6784
Ta 2.2282 0.0000 8.0473
Ir 0.0000 0.0000 4.0383
Ir 2.2282 2.2282 9.4072
Os 0.0000 0.0000 6.7059
Os 2.2282 2.2282 1.3370
```

Computed properties:
- E_form (eV per formula unit) = -2.4
- SG = I4mm (107)



No. 7
Here is an optimized crystal structure of La3P4Ir4 from the Open Quantum Materials Database. Energies are from PBE.

The structure in extended XYZ format:
```
11
Lattice="-2.0506 2.0648 12.2366 2.0506 -2.0648 12.2366 2.0506 2.0648 -12.2366" Properties=species:S:1:pos:R:3 pbc="T T T"
La 0.0000 0.0000 0.0000
La 2.0506 0.0000 8.6959
La 0.0000 2.0648 3.5407
P 2.0506 0.0000 4.7463
P 0.0000 0.0000 11.0240
P 0.0000 0.0000 13.4492
P 0.0000 2.0648 7.4903
Ir 2.0506 0.0000 2.3780
Ir 0.0000 0.0000 6.0480
Ir 0.0000 0.0000 18.4251
Ir 0.0000 2.0648 9.8586
```

Computed properties:
- SG = Immm (71)
- electronic total energy (eV/cell) = -84.19



No. 8
Here is an optimized crystal structure of La2PIr8 from the Open Quantum Materials Database. Energies are from PBE.

The structure in extended XYZ format:
```
11
Lattice="4.2387 0.0000 0.0000 0.0000 8.7346 2.6752 0.0000 -8.7346 2.6752" Properties=species:S:1:pos:R:3 pbc="T T T"
La 0.0000 -6.6770 2.6752
La 0.0000 6.6770 2.6752
P 2.1194 0.0000 3.9427
Ir 0.0000 -3.5314 2.6581
Ir 0.0000 0.0000 2.7308
Ir 0.0000 3.5314 2.6581
Ir 2.1194 0.0000 0.8613
Ir 2.1194 -1.9874 2.6898
Ir 2.1194 -4.3193 4.0086
Ir 2.1194 1.9874 2.6898
Ir 2.1194 4.3193 4.0086
```

Computed properties:
- SG = Amm2 (38)
- electronic total energy (eV/cell) = -91.60



No. 9
Here is an optimized crystal structure of La2P2IrPd from the Open Quantum Materials Database. Energies are from PBE.

The structure in extended XYZ format:
```
6
Lattice="4.1889 0.0000 0.0000 -2.0945 3.6277 0.0000 0.0000 0.0000 8.3145" Properties=species:S:1:pos:R:3 pbc="T T T"
La 0.0000 0.0000 2.0321
La 0.0000 0.0000 6.2824
P 0.0000 2.4185 0.0000
P 2.0945 1.2092 4.1572
Ir 2.0945 1.2092 0.0000
Pd 0.0000 2.4185 4.1572
```

Computed properties:
- SG = P-6m2 (187)
- electronic total energy (eV/cell) = -42.14



No. 10
Here is an optimized crystal structure of LaP2IrPd from the Open Quantum Materials Database. Energies are from PBE.

The structure in extended XYZ format:
```
10
Lattice="4.2935 0.0000 0.0000 0.0000 4.2935 0.0000 0.0000 0.0000 9.5883" Properties=species:S:1:pos:R:3 pbc="T T T"
La 1.0734 1.0734 2.3450
La 3.2201 3.2201 7.2433
P 1.0734 1.0734 6.1667
P 1.0734 3.2201 0.0000
P 3.2201 1.0734 0.0000
P 3.2201 3.2201 3.4216
Ir 1.0734 1.0734 8.5624
Ir 3.2201 3.2201 1.0260
Pd 1.0734 3.2201 4.7942
Pd 3.2201 1.0734 4.7942
```

Computed properties:
- SG = P4/nmm (129)
- electronic total energy (eV/cell) = -70.46



No. 11
Here is an optimized crystal structure of LaPrP2Ir2Se2 from the Open Quantum Materials Database. Energies are from PBE.

The structure in extended XYZ format:
```
8
Lattice="4.0330 0.0000 0.0000 0.0000 4.0330 0.0000 0.0000 0.0000 10.0298" Properties=species:S:1:pos:R:3 pbc="T T T"
La 0.0000 0.0000 0.0000
Pr 2.0165 2.0165 5.2510
P 0.0000 0.0000 4.0197
P 2.0165 2.0165 1.3003
Ir 0.0000 2.0165 2.6403
Ir 2.0165 0.0000 2.6403
Se 0.0000 2.0165 7.6342
Se 2.0165 0.0000 7.6342
```

Computed properties:
- SG = P4mm (99)
- electronic total energy (eV/cell) = -53.75



No. 12
Here is an optimized crystal structure of LaPaIr from the Open Quantum Materials Database. Energies are from PBE.

The structure in extended XYZ format:
```
12
Lattice="6.8909 0.0000 0.0000 0.0000 6.8909 0.0000 0.0000 0.0000 6.8909" Properties=species:S:1:pos:R:3 pbc="T T T"
La 0.0000 0.0000 0.0000
La 0.0000 3.4454 3.4454
La 3.4454 0.0000 3.4454
La 3.4454 3.4454 0.0000
Pa 0.0000 0.0000 3.4454
Pa 0.0000 3.4454 0.0000
Pa 3.4454 0.0000 0.0000
Pa 3.4454 3.4454 3.4454
Ir 1.7227 1.7227 5.1681
Ir 1.7227 5.1681 1.7227
Ir 5.1681 1.7227 1.7227
Ir 5.1681 5.1681 5.1681
```

Computed properties:
- E_form (eV per formula unit) = -0.6
- SG = F-43m (216)